Arrangement 1

This record from Alexandria describes a relaxed structure of B2C. The functional is PBE-GGA.

Computed properties:
Crystal system: monoclinic
Total magnetization, Bohr magnetons per cell: 0.0
Density, g cm⁻³: 2.54
Space group: No. 8

a = 6.6663 Å, b = 6.6663 Å, c = 5.1870 Å
α = 97.82°, β = 97.82°, γ = 22.69°
Fractional positions:
B  0.0000  0.0000  0.0000
B  0.0121  0.0121  0.5354
B  0.2126  0.2126  0.2833
B  0.2257  0.2257  0.8972
B  0.3271  0.3271  0.1420
B  0.3741  0.3741  0.8231
B  0.5985  0.5985  0.0568
B  0.9109  0.9109  0.2797
C  0.5932  0.5932  0.5586
C  0.6601  0.6601  0.3465
C  0.6638  0.6638  0.8132
C  0.9207  0.9207  0.7312

Arrangement 2

This record from Alexandria describes a relaxed structure of B2C. The functional is PBE-GGA.

Computed properties:
Crystal system: monoclinic
Total magnetization, Bohr magnetons per cell: 0.0
Density, g cm⁻³: 2.52
Space group: No. 8

a = 5.9031 Å, b = 5.9031 Å, c = 5.8999 Å
α = 100.30°, β = 100.30°, γ = 26.03°
Fractional positions:
B  0.0000  0.0000  0.0000
B  0.0029  0.0029  0.6311
B  0.2138  0.2138  0.9955
B  0.3461  0.3461  0.6520
B  0.5864  0.5864  0.5606
B  0.5973  0.5973  0.1216
B  0.6459  0.6459  0.8444
B  0.8833  0.8833  0.1553
C  0.2534  0.2534  0.4119
C  0.3223  0.3223  0.2014
C  0.6729  0.6729  0.3797
C  0.8994  0.8994  0.7657

Most stable to least stable: arrangement 1, arrangement 2